Here is a geometry-optimized Mg5Si9 structure from Alexandria via LeMat-Bulk. Energies are from PBE.

Values from the calculation:
density of states at the Fermi level	9.09	states/eV per cell
energy relative to the lowest polymorph listed for this composition	0.90	kcal/mol of atoms
SG	No. 1
formation energy from raw total energies	0.14	eV/atom
V	517.8	Å³ per cell

abc: 5.482 7.646 13.137
angles: 90.96 101.62 105.70
Atoms (fractional coordinates):
Mg 0.000 0.000 0.000
Mg 0.002 0.667 0.842
Mg 0.099 0.133 0.413
Mg 0.311 0.007 0.621
Mg 0.435 0.388 0.792
Mg 0.488 0.865 0.408
Mg 0.573 0.602 0.218
Mg 0.581 0.245 0.317
Mg 0.929 0.291 0.151
Mg 0.941 0.643 0.458
Si 0.049 0.662 0.074
Si 0.094 0.599 0.273
Si 0.143 0.920 0.236
Si 0.210 0.035 0.818
Si 0.211 0.451 0.980
Si 0.214 0.625 0.657
Si 0.390 0.272 0.105
Si 0.402 0.487 0.412
Si 0.478 0.869 0.066
Si 0.507 0.840 0.803
Si 0.556 0.144 0.972
Si 0.558 0.548 0.599
Si 0.620 0.668 0.958
Si 0.726 0.969 0.240
Si 0.790 0.856 0.679
Si 0.812 0.101 0.562
Si 0.850 0.369 0.671
Si 0.903 0.244 0.841



Here is a geometry-optimized MgSi2 structure from Alexandria via LeMat-Bulk. Energies are from PBE.

Values from the calculation:
density of states at the Fermi level	0.49	states/eV per cell
energy relative to the lowest polymorph listed for this composition	0.72	kcal/mol of atoms
SG	No. 12
formation energy from raw total energies	0.05	eV/atom
V	118.6	Å³ per cell

abc: 6.371 6.371 5.306
angles: 97.14 97.14 33.74
Atoms (fractional coordinates):
Mg 0.209 0.209 0.238
Mg 0.791 0.791 0.762
Si 0.087 0.087 0.634
Si 0.416 0.416 0.088
Si 0.584 0.584 0.912
Si 0.913 0.913 0.366



Here is a geometry-optimized MgSi2 structure from Alexandria via LeMat-Bulk. Energies are from PBE.

Values from the calculation:
density of states at the Fermi level	3.43	states/eV per cell
energy relative to the lowest polymorph listed for this composition	1.87	kcal/mol of atoms
SG	No. 1
formation energy from raw total energies	0.10	eV/atom
V	228.2	Å³ per cell

abc: 3.751 5.565 11.604
angles: 91.25 91.38 109.45
Atoms (fractional coordinates):
Mg 0.000 0.000 0.000
Mg 0.022 0.106 0.493
Mg 0.697 0.418 0.675
Mg 0.907 0.741 0.234
Si 0.044 0.094 0.762
Si 0.184 0.303 0.283
Si 0.223 0.468 0.889
Si 0.340 0.730 0.549
Si 0.407 0.816 0.758
Si 0.606 0.174 0.165
Si 0.730 0.533 0.447
Si 0.743 0.491 0.016